This record from Alexandria via LeMat-Bulk describes an optimized crystal structure of Rb2ZnMoF6. The functional is PBE+U.

a = 6.2581 Å, b = 6.2581 Å, c = 6.1660 Å
α = 59.50°, β = 59.50°, γ = 90.00°
With the nearest neighbours (Å) after each atom.
Element x y z (fractional)
Mo: 0.0000 0.0000 0.0000  6 F 2.15-2.38
Zn: 0.5000 0.5000 0.0000  6 F 2.05-2.14
Rb: 0.7500 0.2500 0.5000  12 F 3.09-3.13
Rb: 0.2500 0.7500 0.5000  12 F 3.09-3.13
F: 0.2506 0.2506 0.4988  1 Zn 2.14, 1 Mo 2.15
F: 0.7494 0.7494 0.5012  1 Zn 2.14, 1 Mo 2.15
F: 0.2686 0.2686 0.0000  1 Zn 2.05
F: 0.7314 0.7314 0.0000  1 Zn 2.05
F: 0.7314 0.2686 0.0000  1 Zn 2.05
F: 0.2686 0.7314 0.0000  1 Zn 2.05

Space group   No. 139
Energy   -4.56 eV per atom